No. 1
Crystalline Cu2HgW at its relaxed geometry, computed with PBE.

As for the space-group type: R-3m. For the calculated total energy, the calculation gives -4.96 eV per atom.

a b c (Å): 9.3203 9.3203 9.3203
angles (deg): 17.38 17.38 17.38
Last column: nearest neighbours and their distance in Å.
Sites, in units of the cell vectors:
Cu 0.0045 0.0045 0.0045  3 W 2.71, 6 Cu 2.82, 3 Hg 2.91
Cu 0.4955 0.4955 0.4955  3 W 2.71, 6 Cu 2.82, 3 Hg 2.91
Hg 0.2500 0.2500 0.2500  6 Hg 2.82, 6 Cu 2.91
W 0.7500 0.7500 0.7500  6 Cu 2.71, 6 W 2.82



No. 2
Crystalline LiAlP2 at its relaxed geometry, computed with PBE.

As for the space-group type: P2/m. For the calculated total energy, the calculation gives -4.33 eV per atom.

a b c (Å): 3.3919 3.7496 5.7329
angles (deg): 73.40 90.00 90.00
Last column: nearest neighbours and their distance in Å.
Sites, in units of the cell vectors:
Al 0.5000 0.2500 0.2500  4 P 2.48
Li 0.5000 0.7500 0.7500  4 P 2.70, 2 Al 2.94
P 0.0000 0.9383 0.0608  1 P 2.23, 2 Al 2.48
P 0.0000 0.5617 0.4392  1 P 2.23, 2 Al 2.48



No. 3
Crystalline Ac2PrTe4 at its relaxed geometry, computed with PBE.

Its uncorrected formation energy is -1.47 eV/atom. As for the space-group type: Cmcm. Its distance to the lowest polymorph of the same formula is 37.5 meV per atom. For the calculated total energy, the calculation gives -5.12 eV per atom.

a b c (Å): 4.4921 8.1616 15.6907
angles (deg): 90.00 90.00 105.97
Last column: nearest neighbours and their distance in Å.
Sites, in units of the cell vectors:
Ac 0.1323 0.2645 0.4259  6 Te 3.27-3.41
Ac 0.8677 0.7355 0.9259  6 Te 3.27-3.41
Ac 0.1323 0.2645 0.0741  6 Te 3.27-3.41
Ac 0.8677 0.7355 0.5741  6 Te 3.27-3.41
Pr 0.6286 0.2573 0.7500  6 Te 3.23-3.29
Pr 0.3714 0.7427 0.2500  6 Te 3.23-3.29
Te 0.7818 0.5635 0.1256  2 Pr 3.29, 3 Ac 3.35-3.41
Te 0.7818 0.5635 0.3744  2 Pr 3.29, 3 Ac 3.35-3.41
Te 0.2182 0.4365 0.8744  2 Pr 3.29, 3 Ac 3.35-3.41
Te 0.2182 0.4365 0.6256  2 Pr 3.29, 3 Ac 3.35-3.41
Te 0.9807 0.9614 0.7500  2 Pr 3.23, 2 Ac 3.28
Te 0.0193 0.0386 0.2500  2 Pr 3.23, 2 Ac 3.28
Te 0.5000 0.0000 0.0000  4 Ac 3.27
Te 0.5000 0.0000 0.5000  4 Ac 3.27



No. 4
Crystalline Tb9Y4Al11 at its relaxed geometry, computed with PBE.

As for the space-group type: Cmmm. For the calculated total energy, the calculation gives -4.86 eV per atom.

a b c (Å): 3.3788 13.5954 13.5954
angles (deg): 110.72 90.00 90.00
Last column: nearest neighbours and their distance in Å.
Sites, in units of the cell vectors:
Tb 0.5000 0.6133 0.1621  8 Al 3.11-3.36, 1 Y 3.33, 3 Tb 3.38-3.47
Tb 0.5000 0.3867 0.8379  8 Al 3.11-3.36, 1 Y 3.33, 3 Tb 3.38-3.47
Tb 0.5000 0.1621 0.6133  8 Al 3.11-3.36, 1 Y 3.33, 3 Tb 3.38-3.47
Tb 0.5000 0.8379 0.3867  8 Al 3.11-3.36, 1 Y 3.33, 3 Tb 3.38-3.47
Tb 0.5000 0.7968 0.9878  8 Al 3.09-3.21, 3 Tb 3.33-3.38, 1 Y 3.36
Tb 0.5000 0.2032 0.0122  8 Al 3.09-3.21, 3 Tb 3.33-3.38, 1 Y 3.36
Tb 0.5000 0.9878 0.7968  8 Al 3.09-3.21, 3 Tb 3.33-3.38, 1 Y 3.36
Tb 0.5000 0.0122 0.2032  8 Al 3.09-3.21, 3 Tb 3.33-3.38, 1 Y 3.36
Tb 0.5000 0.5000 0.5000  4 Al 3.20, 4 Y 3.29, 2 Tb 3.38
Y 0.5000 0.5927 0.7591  6 Al 3.15-3.31, 3 Tb 3.29-3.36, 2 Y 3.38
Y 0.5000 0.4073 0.2409  6 Al 3.15-3.31, 3 Tb 3.29-3.36, 2 Y 3.38
Y 0.5000 0.7591 0.5927  6 Al 3.15-3.31, 3 Tb 3.29-3.36, 2 Y 3.38
Y 0.5000 0.2409 0.4073  6 Al 3.15-3.31, 3 Tb 3.29-3.36, 2 Y 3.38
Al 0.0000 0.5874 0.9592  1 Al 2.96, 6 Tb 3.14-3.21, 2 Y 3.22
Al 0.0000 0.4126 0.0408  1 Al 2.96, 6 Tb 3.14-3.21, 2 Y 3.22
Al 0.0000 0.9592 0.5874  1 Al 2.96, 6 Tb 3.14-3.21, 2 Y 3.22
Al 0.0000 0.0408 0.4126  1 Al 2.96, 6 Tb 3.14-3.21, 2 Y 3.22
Al 0.0000 0.6213 0.3787  6 Tb 3.20-3.36, 4 Y 3.31, 2 Al 3.38
Al 0.0000 0.3787 0.6213  6 Tb 3.20-3.36, 4 Y 3.31, 2 Al 3.38
Al 0.0000 0.8128 0.1872  8 Tb 3.11-3.14, 2 Al 3.38
Al 0.0000 0.1872 0.8128  8 Tb 3.11-3.14, 2 Al 3.38
Al 0.0000 0.0000 0.0000  4 Al 3.12-3.38, 8 Tb 3.19
Al 0.0000 0.7982 0.7982  4 Tb 3.09, 3 Al 3.12-3.38, 4 Y 3.15
Al 0.0000 0.2018 0.2018  4 Tb 3.09, 3 Al 3.12-3.38, 4 Y 3.15



- calculated total energy of number 2 (LiAlP2)?
  -4.33 eV per atom